Entry 1:
First-principles (PBE) data for a geometry-optimized TmTh3Sc7 structure, as listed in Alexandria via LeMat-Bulk.

## Properties
**Energy relative to the elements**: 21.62 kJ per mole of atoms

```
11
Lattice="-2.1940 3.7416 6.7265 -3.6189 -5.3882 1.8168 6.4666 0.4914 1.8359" Properties=species:S:1:pos:R:3 pbc="T T T"
Tm 2.1317 0.1911 4.8129
Th -0.3101 0.4890 7.1161
Th -3.5268 0.2446 6.2029
Th -2.1103 -2.1912 8.0198
Sc 4.5392 -0.0401 2.6259
Sc 1.2824 -0.2876 1.7013
Sc -0.5260 -2.9697 2.6476
Sc -2.9122 -2.7404 4.8154
Sc -1.1058 -0.0507 3.9085
Sc 0.3158 -2.4951 5.7318
Sc 2.7166 -2.7538 3.5409
```

Entry 2:
First-principles (PBE) data for a geometry-optimized Ho6Th2Sc structure, as listed in Alexandria via LeMat-Bulk.

## Properties
**Energy above the lowest structure with this stoichiometry**: 0 meV/atom
**Energy relative to the elements**: 4.52 kJ per mole of atoms

```
9
Lattice="5.0058 -0.0027 -0.0009 -2.5027 2.0339 -5.1430 0.0046 -0.0627 27.2695" Properties=species:S:1:pos:R:3 pbc="T T T"
Ho 0.0022 0.8989 9.8115
Ho 2.5056 1.0695 12.3142
Ho 2.5067 1.5575 17.1978
Ho 2.5034 0.2133 2.4480
Ho 0.0010 0.4110 4.9278
Ho 0.0043 1.7552 19.6776
Th 2.5045 0.6244 7.3703
Th 0.0033 1.3441 14.7554
Sc 0.0000 0.0000 0.0000
```

Entry 3:
First-principles (PBE) data for a geometry-optimized HoPaOs structure, as listed in Alexandria via LeMat-Bulk.

## Properties
**Energy above the lowest structure with this stoichiometry**: 155 meV/atom
**Energy relative to the elements**: -3.95 kJ per mole of atoms

```
3
Lattice="-3.4699 -1.1159 3.0667 1.0877 -1.7779 4.2832 -0.6609 2.6373 3.9113" Properties=species:S:1:pos:R:3 pbc="T T T"
Pa 0.0000 0.0000 0.0000
Os -0.7608 -0.0641 2.8153
Ho -1.5216 -0.1282 5.6306
```

Entry 4:
First-principles (PBE) data for a geometry-optimized LiB2C2 structure, as listed in Alexandria via LeMat-Bulk.

## Properties
**Energy above the lowest structure with this stoichiometry**: 39 meV/atom
**Energy relative to the elements**: -2.98 kJ per mole of atoms

```
15
Lattice="4.5789 0.0801 6.3339 2.1077 4.0658 6.3339 0.1292 0.0801 7.8146" Properties=species:S:1:pos:R:3 pbc="T T T"
C 3.6725 0.4391 8.5930
C 5.4320 2.4603 11.4016
C 1.3753 1.7830 9.0802
C 3.1336 3.7716 11.8958
C 3.5266 3.0943 8.0938
C 3.3076 1.1298 12.3830
B 4.8000 1.1226 11.9068
B 4.3380 1.7543 8.0812
B 2.4690 2.4490 12.4088
B 2.0399 3.1056 8.5672
B 4.6206 3.8003 11.4141
B 2.1801 0.4463 9.0692
Li 3.4061 2.1119 10.2358
Li 4.5439 2.8173 13.6550
Li 5.6816 3.5228 17.0740
```

Entry 5:
First-principles (PBE) data for a geometry-optimized Sm6Ho3Er structure, as listed in Alexandria via LeMat-Bulk.

## Properties
**Energy above the lowest structure with this stoichiometry**: 0 meV/atom
**Energy relative to the elements**: 12.24 kJ per mole of atoms

```
20
Lattice="-6.2844 0.3209 -1.1094 -0.6271 -11.6416 0.1848 -1.1198 7.7957 8.5981" Properties=species:S:1:pos:R:3 pbc="T T T"
Sm -1.5875 -3.7677 5.3982
Sm -4.7890 -1.2657 5.8571
Sm -3.3222 1.7699 7.4169
Sm -6.2483 -6.5957 3.1718
Sm -2.6534 -11.2238 -0.0353
Sm -5.9559 2.2090 5.1899
Sm -2.6172 -5.7064 2.3879
Sm -6.2723 7.7445 7.5509
Sm -2.7098 3.1180 4.3382
Sm -5.6359 -5.2475 0.0930
Sm -0.9554 -2.3761 2.2202
Sm -4.1569 0.1259 2.6790
Ho -4.4768 -5.4844 5.7075
Ho -7.7427 -0.4410 7.2663
Ho -1.4725 -0.3352 4.9676
Ho -4.5357 -3.2931 3.0631
Ho -6.5822 2.1140 1.4315
Ho -3.3163 -2.9294 -0.1273
Er -1.1460 4.7083 7.2410
Er -3.9523 -8.3831 0.9503
```

Entry 6:
First-principles (PBE) data for a geometry-optimized ZnIr2Pb structure, as listed in Alexandria via LeMat-Bulk.

## Properties
**Energy above the lowest structure with this stoichiometry**: 88 meV/atom
**Energy relative to the elements**: 29.24 kJ per mole of atoms

```
4
Lattice="4.6310 0.0414 0.0000 -0.6240 4.5889 0.0000 0.0000 0.0000 3.1426" Properties=species:S:1:pos:R:3 pbc="T T T"
Ir 0.0000 0.0000 0.0000
Ir 2.0035 2.3151 0.0000
Pb 2.3155 0.0207 1.5713
Zn -0.3120 2.2945 1.5713
```

Number 3 is which compound? HoPaOs